Material: Li2InFe
Method: DFT, meta-GGA SCAN
State: single point on PBEsol structure

For the final energy, the calculation gives -14.013 eV/atom.

It has space group Pm (No. 6), with a = 2.8100 Å, b = 3.8677 Å, c = 5.8350 Å, α = 90.00°, β = 90.97° and γ = 90.00°. Symmetry generates all atoms from Li at (0.0000, 0.0000, 0.0000), Li at (0.4909, 0.5000, 0.2502), In at (0.4974, 0.5000, 0.7187) and Fe at (0.9919, 0.0000, 0.4885).

Material: NaYTiNbO6F
Method: DFT, meta-GGA SCAN
State: single point on PBEsol structure

The uncorrected formation energy comes out at -3.233 eV/atom. For the final energy, the calculation gives -14.337 eV/atom.

It has space group Imma (No. 74), with a = 7.0359 Å, b = 7.4521 Å, c = 10.1820 Å, α = 90.00°, β = 90.00° and γ = 90.00°. Symmetry generates all atoms from Na at (0.2500, 0.2500, 0.2500), Y at (0.0000, 0.0000, 0.0000), Ti at (0.2500, 0.2500, 0.7500), Nb at (0.0000, 0.0000, 0.5000), O at (0.0000, 0.2500, 0.4303), O at (0.0000, 0.2500, 0.8289), O at (0.2124, 0.0572, 0.6217) and F at (0.0000, 0.2500, 0.1153).

Material: ScCd2FeGe
Method: DFT, meta-GGA SCAN
State: single point on PBEsol structure

For the final energy, the calculation gives -21.271 eV/atom.

It has space group P4/mmm (No. 123), with a = 5.3402 Å, b = 5.3402 Å, c = 4.2129 Å, α = 90.00°, β = 90.00° and γ = 90.00°. Symmetry generates all atoms from Sc at (0.0000, 0.0000, 0.0000), Cd at (0.0000, 0.5000, 0.0000), Fe at (0.0000, 0.0000, 0.5000) and Ge at (0.5000, 0.5000, 0.5000).

no.,total magnetization (μB/f.u.)
1,2.6
2,0.0
3,1.7